Entry 1:
The following is a PBE calculation of crystalline SnHgSF2 at its relaxed geometry, from Alexandria.

POSCAR file:
```
SnHgSF2
1.0
4.376 0.000 0.000
0.000 4.376 0.000
0.000 0.000 5.316
Sn Hg S F
1 1 1 2
direct
0.000 0.000 0.000
0.500 0.500 0.500
0.000 0.000 0.500
0.000 0.500 0.000
0.500 0.000 0.000
```

Results
Formation energy (no corrections) = -1.2165 eV/atom
Magnetization = 0.00 Bohr magnetons per cell
Space group = P4/mmm, No. 123

Entry 2:
The following is a PBE calculation of crystalline Tl6HgS2F at its relaxed geometry, from Alexandria.

POSCAR file:
```
Tl6HgS2F
1.0
6.928 0.000 0.000
2.832 6.548 0.000
2.548 1.598 6.755
Tl Hg S F
6 1 2 1
direct
0.000 0.000 0.000
0.020 0.414 0.166
0.160 0.420 0.627
0.412 0.910 0.322
0.551 0.535 0.755
0.789 0.012 0.634
0.537 0.392 0.230
0.462 0.869 0.937
0.866 0.728 0.383
0.074 0.690 0.835
```

Results
Formation energy (no corrections) = -0.4714 eV/atom
Magnetization = 0.00 Bohr magnetons per cell
Space group = P1, No. 1

Copy entry 2 word for word.
The following is a PBE calculation of crystalline Tl6HgS2F at its relaxed geometry, from Alexandria.

POSCAR file:
```
Tl6HgS2F
1.0
6.928 0.000 0.000
2.832 6.548 0.000
2.548 1.598 6.755
Tl Hg S F
6 1 2 1
direct
0.000 0.000 0.000
0.020 0.414 0.166
0.160 0.420 0.627
0.412 0.910 0.322
0.551 0.535 0.755
0.789 0.012 0.634
0.537 0.392 0.230
0.462 0.869 0.937
0.866 0.728 0.383
0.074 0.690 0.835
```

Results
Formation energy (no corrections) = -0.4714 eV/atom
Magnetization = 0.00 Bohr magnetons per cell
Space group = P1, No. 1

- Number 2 is which compound?
  Tl6HgS2F

- Which formula does entry 2 have?
  Tl6HgS2F